RePbBr2 after structural relaxation. Source: the Alexandria database, functional GGA-PBE.

As for the excess energy over the best structure of this formula in the dataset: 789 meV per atom.

It has space group P4/mmm (No. 123), with a = 4.8479 Å, b = 4.8479 Å, c = 4.4462 Å, α = 90.00°, β = 90.00° and γ = 90.00°. Symmetry generates all atoms from Re at (0.0000, 0.0000, 0.0000), Pb at (0.5000, 0.5000, 0.0000) and Br at (0.0000, 0.5000, 0.5000).


RePbBr2 after structural relaxation. Source: the Alexandria database, functional GGA-PBE.

As for the excess energy over the best structure of this formula in the dataset: 597 meV per atom.

It has space group P2/m (No. 10), with a = 4.8833 Å, b = 3.3558 Å, c = 6.0394 Å, α = 90.00°, β = 94.64° and γ = 90.00°. Symmetry generates all atoms from Re at (0.0000, 0.0000, 0.0000), Pb at (0.0000, 0.5000, 0.5000), Br at (0.5000, 0.0000, 0.5000) and Br at (0.5000, 0.5000, 0.0000).


RePbBr2 after structural relaxation. Source: the Alexandria database, functional GGA-PBE.

As for the excess energy over the best structure of this formula in the dataset: 253 meV per atom.

It has space group R-3m (No. 166, hexagonal axes), with a = 3.4018 Å, b = 3.4018 Å, c = 32.0634 Å, α = 90.00°, β = 90.00° and γ = 120.00°. Symmetry generates all atoms from Re at (0.0000, 0.0000, 0.0000), Pb at (0.0000, 0.0000, 0.5000) and Br at (0.0000, 0.0000, 0.2805).


RePbBr4 after structural relaxation. Source: the Alexandria database, functional GGA-PBE.

It has space group F-43m (No. 216), with a = 9.0085 Å, b = 9.0085 Å, c = 9.0085 Å, α = 90.00°, β = 90.00° and γ = 90.00°. Symmetry generates all atoms from Re at (0.0000, 0.0000, 0.0000), Pb at (0.2500, 0.2500, 0.2500) and Br at (0.1256, 0.1256, 0.6256).


RePbBr2 after structural relaxation. Source: the Alexandria database, functional GGA-PBE.

As for the excess energy over the best structure of this formula in the dataset: 330 meV per atom.

It has space group P4mm (No. 99), with a = 3.3039 Å, b = 3.3039 Å, c = 8.7109 Å, α = 90.00°, β = 90.00° and γ = 90.00°. Symmetry generates all atoms from Re at (0.0000, 0.0000, 0.0000), Pb at (0.5000, 0.5000, 0.7486), Br at (0.0000, 0.0000, 0.5042) and Br at (0.5000, 0.5000, 0.1444).


RePbBr2 after structural relaxation. Source: the Alexandria database, functional GGA-PBE.

As for the excess energy over the best structure of this formula in the dataset: 288 meV per atom.

It has space group R-3m (No. 166, hexagonal axes), with a = 3.2494 Å, b = 3.2494 Å, c = 31.4103 Å, α = 90.00°, β = 90.00° and γ = 120.00°. Symmetry generates all atoms from Re at (0.0000, 0.0000, 0.0000), Pb at (0.0000, 0.0000, 0.5000) and Br at (0.0000, 0.0000, 0.0761).


RePbBr2 after structural relaxation. Source: the Alexandria database, functional GGA-PBE.

As for the excess energy over the best structure of this formula in the dataset: 757 meV per atom.

It has space group I-4m2 (No. 119), with a = 4.2628 Å, b = 4.2628 Å, c = 11.6469 Å, α = 90.00°, β = 90.00° and γ = 90.00°. Symmetry generates all atoms from Re at (0.0000, 0.0000, 0.0000), Pb at (0.0000, 0.5000, 0.2500), Br at (0.0000, 0.0000, 0.5000) and Br at (0.0000, 0.5000, 0.7500).


RePbBr2 after structural relaxation. Source: the Alexandria database, functional GGA-PBE.

As for the excess energy over the best structure of this formula in the dataset: 122 meV per atom.

It has space group C2/m (No. 12), with a = 14.8466 Å, b = 3.2563 Å, c = 4.9573 Å, α = 90.00°, β = 109.32° and γ = 90.00°. Symmetry generates all atoms from Re at (0.0000, 0.0000, 0.0000), Pb at (0.0000, 0.5000, 0.5000) and Br at (0.1500, 0.5000, 0.1502).


RePbBr2 after structural relaxation. Source: the Alexandria database, functional GGA-PBE.

As for the excess energy over the best structure of this formula in the dataset: 574 meV per atom.

It has space group P4/mmm (No. 123), with a = 3.1909 Å, b = 3.1909 Å, c = 9.8590 Å, α = 90.00°, β = 90.00° and γ = 90.00°. Symmetry generates all atoms from Re at (0.0000, 0.0000, 0.0000), Pb at (0.0000, 0.0000, 0.5000) and Br at (0.5000, 0.5000, 0.1598).


Re3PbBr after structural relaxation. Source: the Alexandria database, functional GGA-PBE.

As for the excess energy over the best structure of this formula in the dataset: 0 meV per atom.

It has space group Pm-3m (No. 221), with a = 4.6672 Å, b = 4.6672 Å, c = 4.6672 Å, α = 90.00°, β = 90.00° and γ = 90.00°. Symmetry generates all atoms from Re at (0.0000, 0.0000, 0.5000), Pb at (0.5000, 0.5000, 0.5000) and Br at (0.0000, 0.0000, 0.0000).


Re2Pb2Br after structural relaxation. Source: the Alexandria database, functional GGA-PBE.

As for the excess energy over the best structure of this formula in the dataset: 490 meV per atom.

It has space group P4/mbm (No. 127), with a = 9.2789 Å, b = 9.2789 Å, c = 2.9084 Å, α = 90.00°, β = 90.00° and γ = 90.00°. Symmetry generates all atoms from Re at (0.0861, 0.4139, 0.0000), Pb at (0.1861, 0.6861, 0.5000) and Br at (0.0000, 0.0000, 0.5000).


RePbBr2 after structural relaxation. Source: the Alexandria database, functional GGA-PBE.

As for the excess energy over the best structure of this formula in the dataset: 771 meV per atom.

It has space group I4/mmm (No. 139), with a = 4.8890 Å, b = 4.8890 Å, c = 8.8479 Å, α = 90.00°, β = 90.00° and γ = 90.00°. Symmetry generates all atoms from Re at (0.0000, 0.0000, 0.0000), Pb at (0.0000, 0.0000, 0.5000) and Br at (0.0000, 0.5000, 0.2500).


no.,final energy (eV/atom),formation energy (no corrections) (eV/atom)
1,-3.80,1.072
2,-4.00,0.880
3,-4.34,0.536
4,-2.61,1.200
5,-4.26,0.612
6,-4.30,0.571
7,-3.84,1.040
8,-4.47,0.405
9,-4.02,0.857
10,-6.21,2.338
11,-5.88,0.915
12,-3.82,1.054